(1)
Material: MoWS4
Method: DFT, PBE
State: relaxed

Mass density in Mg/m³: 4.77
Distance to the lowest polymorph of the same formula in meV/atom: 0.8
Raw formation energy in eV/f.u.: -5.09
E in eV per atom: -7.56

Cell: 3.190 3.190 32.213 Å, 90.00 90.00 120.00°
Element x y z (fractional)
1 Mo 0.000 0.000 0.485
2 Mo 0.000 0.000 0.048
3 S 0.000 0.000 0.220
4 W 0.333 0.667 0.702
5 S 0.333 0.667 0.999
6 S 0.000 0.000 0.317
7 S 0.333 0.667 0.534
8 W 0.333 0.667 0.268
9 S 0.000 0.000 0.653
10 S 0.000 0.000 0.751
11 S 0.333 0.667 0.096
12 S 0.333 0.667 0.436

---

(2)
Material: YMoS
Method: DFT, PBE
State: relaxed

Mass density in Mg/m³: 6.09
Distance to the lowest polymorph of the same formula in meV/atom: 178.2
Raw formation energy in eV/f.u.: -2.39
E in eV per atom: -7.94

Cell: 3.482 3.380 10.053 Å, 90.00 90.00 90.00°
Element x y z (fractional)
1 Y 0.000 0.500 0.686
2 S 0.000 0.000 0.204
3 Mo 0.000 0.500 0.012
4 S 0.500 0.000 0.538
5 Mo 0.500 0.000 0.888
6 Y 0.500 0.500 0.322

---

(3)
Material: YMoS
Method: DFT, PBE
State: relaxed

Mass density in Mg/m³: 5.70
Distance to the lowest polymorph of the same formula in meV/atom: 160.3
Raw formation energy in eV/f.u.: -2.45
E in eV per atom: -7.96

Cell: 3.514 3.670 9.819 Å, 90.00 93.80 90.00°
Element x y z (fractional)
1 Mo 0.620 0.500 0.038
2 S 0.193 0.000 0.345
3 Y 0.786 0.000 0.791
4 Y 0.709 0.500 0.425
5 Mo 0.116 0.000 0.099
6 S 0.255 0.500 0.651

---

(4)
Material: YMoS3
Method: DFT, PBE
State: relaxed

Mass density in Mg/m³: 4.54
Raw formation energy in eV/f.u.: -3.25
E in eV per atom: -6.59

Cell: 4.686 4.686 4.686 Å, 90.00 90.00 90.00°
Element x y z (fractional)
1 S 0.000 0.000 0.500
2 S 0.500 0.000 0.000
3 S 0.000 0.500 0.000
4 Mo 0.000 0.000 0.000
5 Y 0.500 0.500 0.500

---

| no. | total magnetic moment (μB per formula unit) |
| --- | --- |
| 1 | 0.00 |
| 2 | 0.00 |
| 3 | 0.00 |
| 4 | 0.00 |